# 1
TbPuRhO6 | PBE | optimized geometry

abc: 5.268 5.268 10.251
angles: 90.00 90.00 120.00
Sites, in units of the cell vectors:
Tb 0.000 0.000 0.000
Tb 0.000 0.000 0.500
Pu 0.667 0.333 0.250
Pu 0.333 0.667 0.750
Rh 0.333 0.667 0.250
Rh 0.667 0.333 0.750
O 0.649 0.657 0.137
O 0.008 0.351 0.137
O 0.351 0.008 0.637
O 0.992 0.649 0.863
O 0.343 0.351 0.363
O 0.008 0.657 0.363
O 0.657 0.008 0.863
O 0.649 0.992 0.363
O 0.992 0.343 0.637
O 0.343 0.992 0.137
O 0.657 0.649 0.637
O 0.351 0.343 0.863

# 2
DyGa4Ir2Rh | PBE | optimized geometry

abc: 4.252 4.252 8.845
angles: 76.09 76.09 60.00
Sites, in units of the cell vectors:
Dy 0.000 0.000 0.000
Ga 0.398 0.398 0.806
Ga 0.869 0.869 0.393
Ga 0.131 0.131 0.607
Ga 0.602 0.602 0.194
Ir 0.762 0.762 0.713
Ir 0.238 0.238 0.287
Rh 0.500 0.500 0.500

Computed properties:
Energy relative to the elements = -0.616 eV per atom

# 3
TlRuRh2 | PBE | optimized geometry

abc: 2.860 2.860 7.871
angles: 90.00 90.00 90.00
Sites, in units of the cell vectors:
Rh 0.000 0.000 0.025
Rh 0.000 0.000 0.475
Ru 0.500 0.500 0.250
Tl 0.500 0.500 0.750

Computed properties:
Relative energy among the computed polymorphs = 0 meV per atom
Energy relative to the elements = 0.214 eV per atom

# 4
ScMo4Br | PBE | optimized geometry

abc: 5.371 5.371 5.371
angles: 60.00 60.00 60.00
Sites, in units of the cell vectors:
Sc 0.750 0.750 0.750
Mo 0.374 0.877 0.374
Mo 0.877 0.374 0.374
Mo 0.374 0.374 0.877
Mo 0.374 0.374 0.374
Br 0.000 0.000 0.000

# 5
RbTl2Cd | PBE | optimized geometry

abc: 5.729 5.729 5.729
angles: 60.00 60.00 60.00
Sites, in units of the cell vectors:
Tl 0.250 0.250 0.250
Tl 0.750 0.750 0.750
Rb 0.000 0.000 0.000
Cd 0.500 0.500 0.500

Computed properties:
Relative energy among the computed polymorphs = 125 meV per atom
Energy relative to the elements = 0.042 eV per atom

# 6
BaMg2HgPb | PBE | optimized geometry

abc: 5.487 6.881 5.487
angles: 90.00 90.00 90.00
Sites, in units of the cell vectors:
Pb 0.000 0.000 0.000
Mg 0.000 0.000 0.500
Mg 0.500 0.000 0.000
Hg 0.500 0.500 0.500
Ba 0.000 0.500 0.000

Computed properties:
Energy relative to the elements = 0.082 eV per atom

# 7
NaCa2Nd3Te6 | PBE | optimized geometry

abc: 7.754 7.754 7.916
angles: 99.38 99.38 120.01
Sites, in units of the cell vectors:
Na 0.000 0.000 0.000
Ca 0.333 0.667 0.000
Ca 0.667 0.333 0.000
Nd 0.166 0.834 0.500
Nd 0.834 0.166 0.500
Nd 0.500 0.500 0.500
Te 0.917 0.583 0.752
Te 0.748 0.748 0.247
Te 0.083 0.417 0.248
Te 0.583 0.917 0.752
Te 0.252 0.252 0.753
Te 0.417 0.083 0.248

# 8
CdCuRe2 | PBE | optimized geometry

abc: 3.017 3.017 7.011
angles: 90.00 90.00 90.00
Sites, in units of the cell vectors:
Cd 0.000 0.000 0.518
Cu 0.500 0.500 0.766
Re 0.000 0.000 0.007
Re 0.500 0.500 0.210

Computed properties:
Energy relative to the elements = 0.283 eV per atom

# 9
LiCeErMn | PBE | optimized geometry

abc: 4.957 4.957 4.957
angles: 60.00 60.00 60.00
Sites, in units of the cell vectors:
Mn 0.250 0.250 0.250
Li 0.750 0.750 0.750
Ce 0.000 0.000 0.000
Er 0.500 0.500 0.500

Computed properties:
Energy relative to the elements = 0.140 eV per atom

# 10
Ac4Nd3Y4 | PBE | optimized geometry

abc: 3.719 5.837 19.240
angles: 98.71 90.02 90.01
Sites, in units of the cell vectors:
Ac 0.729 0.090 0.180
Ac 0.225 0.278 0.556
Ac 0.728 0.721 0.442
Ac 0.226 0.907 0.814
Nd 0.229 0.634 0.268
Nd 0.725 0.366 0.732
Nd 0.228 0.001 0.002
Y 0.229 0.543 0.086
Y 0.728 0.462 0.923
Y 0.725 0.820 0.639
Y 0.229 0.179 0.359

Computed properties:
Energy relative to the elements = 0.053 eV per atom

# 11
BaGeI5 | PBE | optimized geometry

abc: 7.994 7.994 11.549
angles: 71.73 71.73 72.22
Sites, in units of the cell vectors:
Ba 0.565 0.435 0.250
Ba 0.435 0.565 0.750
Ge 0.000 0.000 0.000
Ge 0.000 0.000 0.500
I 0.684 0.852 0.096
I 0.361 0.764 0.443
I 0.852 0.684 0.596
I 0.946 0.054 0.250
I 0.236 0.639 0.057
I 0.764 0.361 0.943
I 0.054 0.946 0.750
I 0.148 0.316 0.404
I 0.639 0.236 0.557
I 0.316 0.148 0.904

# 12
ScZn | PBE | optimized geometry

abc: 4.705 4.705 5.517
angles: 90.00 90.00 120.00
Sites, in units of the cell vectors:
Sc 0.333 0.667 0.250
Sc 0.667 0.333 0.750
Zn 0.333 0.667 0.750
Zn 0.667 0.333 0.250

Computed properties:
Energy relative to the elements = 0.453 eV per atom

Number 1: total energy -154.2 eV per cell. Number 2: total energy -46.7 eV per cell. Number 3: total energy -25.5 eV per cell. Number 4: total energy -47.9 eV per cell. Number 5: total energy -6.4 eV per cell. Number 6: total energy -8.7 eV per cell. Number 7: total energy -56.0 eV per cell. Number 8: total energy -28.8 eV per cell. Number 9: total energy -21.0 eV per cell. Number 10: total energy -56.0 eV per cell. Number 11: total energy -39.4 eV per cell. Number 12: total energy -13.4 eV per cell.